Entry 1:
A plane-wave DFT calculation with SCAN was carried out for GaAgPbF2 at its PBEsol-relaxed geometry.

Summary:
**Symmetry**: No. 123
**E_tot**: -27.208 eV/atom
**Total magnetic moment**: 0.00 μB/f.u.
**Formation energy from raw total energies**: -1.093 eV per atom

Structure (extended XYZ):
```
5
Lattice="3.9979 0.0000 0.0000 0.0000 3.9979 0.0000 0.0000 0.0000 5.6859" Properties=species:S:1:pos:R:3 pbc="T T T"
Ga 0.0000 0.0000 0.0000
Ag 1.9990 1.9990 2.8430
Pb 0.0000 0.0000 2.8430
F 0.0000 1.9990 0.0000
F 1.9990 0.0000 0.0000
```

---

Entry 2:
A plane-wave DFT calculation with SCAN was carried out for Y2InAs at its PBEsol-relaxed geometry.

Summary:
**Symmetry**: No. 123
**ΔH_f (0 K)**: -0.914 eV/atom
**E_tot**: -28.229 eV/atom
**Total magnetic moment**: 0.00 μB/f.u.
**ΔE to the lowest computed polymorph**: 19.3 kJ per mole of atoms

Structure (extended XYZ):
```
4
Lattice="3.6865 0.0000 0.0000 0.0000 3.6865 0.0000 0.0000 0.0000 6.8858" Properties=species:S:1:pos:R:3 pbc="T T T"
Y 0.0000 0.0000 1.5708
Y 0.0000 0.0000 5.3150
In 1.8432 1.8432 3.4429
As 1.8432 1.8432 0.0000
```